# 1
La2PrY4 | PBE | optimized geometry

a = 11.9915 Å, b = 11.9915 Å, c = 11.9915 Å
α = 157.68°, β = 157.68°, γ = 31.77°
With the nearest neighbours (Å) after each atom.
Fractional coordinates of all 7 atoms:
La  0.0975  0.0975  0.0000  4 Y 3.43
La  0.9025  0.9025  0.0000  4 Y 3.43
Pr  0.5000  0.5000  0.0000  2 Y 3.23
Y  0.2500  0.7500  0.5000  8 Y 3.28-3.44
Y  0.3601  0.3601  0.0000  1 Pr 3.23, 4 La 3.43, 4 Y 3.44
Y  0.6399  0.6399  0.0000  1 Pr 3.23, 4 La 3.43, 4 Y 3.44
Y  0.7500  0.2500  0.5000  8 Y 3.28-3.44

Summary:
The calculation puts the calculated formation energy at 0.258 eV/atom. Its crystal system is tetragonal. The energy above the most stable polymorph in this dataset is 0.32 eV/f.u. As for the volume: 35.5 Å³/atom. The total energy comes out at -5.527 eV/atom.

=====

# 2
La4Pr5Y | PBE | optimized geometry

a = 10.8384 Å, b = 10.8384 Å, c = 6.0763 Å
α = 90.00°, β = 90.00°, γ = 90.00°
With the nearest neighbours (Å) after each atom.
Fractional coordinates of all 20 atoms:
La  0.0507  0.7500  0.1288  1 Pr 3.12, 1 Y 3.27, 2 La 3.43
La  0.2500  0.5507  0.8712  1 Pr 3.12, 1 Y 3.27, 2 La 3.43
La  0.2500  0.9493  0.8712  1 Pr 3.12, 1 Y 3.27, 2 La 3.43
La  0.4493  0.7500  0.1288  1 Pr 3.12, 1 Y 3.27, 2 La 3.43
La  0.5507  0.2500  0.8712  1 Pr 3.12, 1 Y 3.27, 2 La 3.43
La  0.7500  0.0507  0.1288  1 Pr 3.12, 1 Y 3.27, 2 La 3.43
La  0.7500  0.4493  0.1288  1 Pr 3.12, 1 Y 3.27, 2 La 3.43
La  0.9493  0.2500  0.8712  1 Pr 3.12, 1 Y 3.27, 2 La 3.43
Pr  0.0908  0.0908  0.3462  3 Pr 3.35-3.45, 2 La 3.70
Pr  0.0908  0.4092  0.3462  3 Pr 3.35-3.45, 2 La 3.70
Pr  0.2500  0.7500  0.5000  4 La 3.12
Pr  0.4092  0.0908  0.3462  3 Pr 3.35-3.45, 2 La 3.70
Pr  0.4092  0.4092  0.3462  3 Pr 3.35-3.45, 2 La 3.70
Pr  0.5908  0.5908  0.6538  3 Pr 3.35-3.45, 2 La 3.70
Pr  0.5908  0.9092  0.6538  3 Pr 3.35-3.45, 2 La 3.70
Pr  0.7500  0.2500  0.5000  4 La 3.12
Pr  0.9092  0.5908  0.6538  3 Pr 3.35-3.45, 2 La 3.70
Pr  0.9092  0.9092  0.6538  3 Pr 3.35-3.45, 2 La 3.70
Y  0.2500  0.2500  0.8368  4 La 3.27
Y  0.7500  0.7500  0.1632  4 La 3.27

Summary:
The calculation puts the calculated formation energy at 0.142 eV/atom. Its crystal system is tetragonal. The energy above the most stable polymorph in this dataset is 0.00 eV/f.u. As for the volume: 35.7 Å³/atom. The total energy comes out at -4.865 eV/atom.

=====

# 3
LaPr5Y12 | PBE | optimized geometry

a = 10.8626 Å, b = 10.8626 Å, c = 6.2761 Å
α = 106.65°, β = 106.65°, γ = 59.82°
With the nearest neighbours (Å) after each atom.
Fractional coordinates of all 18 atoms:
La  0.0000  0.0000  0.0000  10 Y 3.60-3.64, 2 Pr 3.63
Pr  0.1669  0.1669  0.5002  10 Y 3.60-3.63, 1 Pr 3.63, 1 La 3.63
Pr  0.3331  0.3331  0.9999  10 Y 3.59-3.63, 2 Pr 3.63
Pr  0.5000  0.5000  0.5000  10 Y 3.59-3.63, 2 Pr 3.63
Pr  0.6669  0.6669  0.0001  10 Y 3.59-3.63, 2 Pr 3.63
Pr  0.8331  0.8331  0.4998  10 Y 3.60-3.63, 1 Pr 3.63, 1 La 3.63
Y  0.0013  0.6645  0.9994  7 Y 3.59-3.65, 4 Pr 3.59-3.63, 1 La 3.64
Y  0.1654  0.5014  0.5004  5 Pr 3.60-3.63, 7 Y 3.60-3.64
Y  0.1685  0.8315  0.5000  3 Pr 3.59-3.63, 7 Y 3.60-3.65, 2 La 3.63
Y  0.3327  0.6673  0.0000  1 La 3.60, 7 Y 3.61-3.63, 4 Pr 3.62-3.63
Y  0.3355  0.9987  0.0006  7 Y 3.59-3.65, 4 Pr 3.59-3.63, 1 La 3.64
Y  0.4986  0.8346  0.4996  5 Pr 3.60-3.63, 7 Y 3.60-3.64
Y  0.5014  0.1654  0.5004  5 Pr 3.60-3.63, 7 Y 3.60-3.64
Y  0.6645  0.0013  0.9994  7 Y 3.59-3.65, 4 Pr 3.59-3.63, 1 La 3.64
Y  0.6673  0.3327  0.0000  1 La 3.60, 7 Y 3.61-3.63, 4 Pr 3.62-3.63
Y  0.8315  0.1685  0.5000  3 Pr 3.59-3.63, 7 Y 3.60-3.65, 2 La 3.63
Y  0.8346  0.4986  0.4996  5 Pr 3.60-3.63, 7 Y 3.60-3.64
Y  0.9987  0.3355  0.0006  7 Y 3.59-3.65, 4 Pr 3.59-3.63, 1 La 3.64

Summary:
The calculation puts the calculated formation energy at 0.017 eV/atom. Its crystal system is monoclinic. As for the volume: 33.6 Å³/atom. The total energy comes out at -5.894 eV/atom.

=====

# 4
La4Pr2Y | PBE | optimized geometry

a = 9.2533 Å, b = 9.2533 Å, c = 9.2533 Å
α = 135.55°, β = 101.04°, γ = 95.43°
With the nearest neighbours (Å) after each atom.
Fractional coordinates of all 14 atoms:
La  0.1493  0.1459  0.0034  1 Pr 3.43, 2 Y 3.63, 5 La 3.63-3.79
La  0.2436  0.2123  0.4687  1 La 3.06, 1 Y 3.20, 1 Pr 3.29
La  0.2436  0.7749  0.0313  1 La 3.06, 1 Y 3.20, 1 Pr 3.29
La  0.3575  0.8541  0.5034  1 Pr 3.43, 2 Y 3.63, 5 La 3.63-3.79
La  0.6425  0.1459  0.4966  1 Pr 3.43, 2 Y 3.63, 5 La 3.63-3.79
La  0.7564  0.2251  0.9687  1 La 3.06, 1 Y 3.20, 1 Pr 3.29
La  0.7564  0.7877  0.5313  1 La 3.06, 1 Y 3.20, 1 Pr 3.29
La  0.8507  0.8541  0.9966  1 Pr 3.43, 2 Y 3.63, 5 La 3.63-3.79
Pr  0.0000  0.5000  0.5000  8 La 3.54-3.94
Pr  0.0319  0.2819  0.7500  4 La 3.29-3.43, 2 Pr 3.59
Pr  0.5000  0.5000  0.0000  8 La 3.54-3.94
Pr  0.9681  0.7181  0.2500  4 La 3.29-3.43, 2 Pr 3.59
Y  0.5000  0.0000  0.0000  2 La 3.20, 2 Y 3.50
Y  0.5000  0.5000  0.5000  2 La 3.20, 2 Y 3.50

Summary:
The calculation puts the calculated formation energy at 0.190 eV/atom. Its crystal system is orthorhombic. The energy above the most stable polymorph in this dataset is 1.10 eV/f.u. As for the volume: 36.6 Å³/atom. The total energy comes out at -4.914 eV/atom.

=====

# 5
LaPrY2 | PBE | optimized geometry

a = 11.9634 Å, b = 11.9634 Å, c = 11.9634 Å
α = 17.61°, β = 17.61°, γ = 17.61°
With the nearest neighbours (Å) after each atom.
Fractional coordinates of all 4 atoms:
La  0.0000  0.0000  0.0000  6 Y 3.63, 6 La 3.66
Pr  0.5000  0.5000  0.5000  6 Y 3.61, 6 Pr 3.66
Y  0.2496  0.2496  0.2496  3 Pr 3.61, 3 La 3.63, 6 Y 3.66
Y  0.7504  0.7504  0.7504  3 Pr 3.61, 3 La 3.63, 6 Y 3.66

Summary:
The calculation puts the calculated formation energy at 0.007 eV/atom. Its crystal system is trigonal. The energy above the most stable polymorph in this dataset is 0.00 eV/f.u. As for the volume: 34.2 Å³/atom. The total energy comes out at -5.652 eV/atom.

=====

# 6
LaPrY14 | PBE | optimized geometry

a = 7.1892 Å, b = 7.1892 Å, c = 10.1547 Å
α = 90.00°, β = 90.00°, γ = 90.00°
With the nearest neighbours (Å) after each atom.
Fractional coordinates of all 16 atoms:
La  0.0000  0.0000  0.0000  12 Y 3.59-3.62
Pr  0.5000  0.5000  0.0000  12 Y 3.59-3.61
Y  0.0000  0.0000  0.5000  12 Y 3.57-3.59
Y  0.0000  0.5000  0.0000  2 La 3.59, 2 Pr 3.59, 8 Y 3.61
Y  0.0000  0.5000  0.5000  12 Y 3.57-3.59
Y  0.2503  0.2503  0.2529  10 Y 3.57-3.61, 1 Pr 3.61, 1 La 3.62
Y  0.2503  0.2503  0.7471  10 Y 3.57-3.61, 1 Pr 3.61, 1 La 3.62
Y  0.2503  0.7497  0.2529  10 Y 3.57-3.61, 1 Pr 3.61, 1 La 3.62
Y  0.2503  0.7497  0.7471  10 Y 3.57-3.61, 1 Pr 3.61, 1 La 3.62
Y  0.5000  0.0000  0.0000  2 La 3.59, 2 Pr 3.59, 8 Y 3.61
Y  0.5000  0.0000  0.5000  12 Y 3.57-3.59
Y  0.5000  0.5000  0.5000  12 Y 3.57-3.59
Y  0.7497  0.2503  0.2529  10 Y 3.57-3.61, 1 Pr 3.61, 1 La 3.62
Y  0.7497  0.2503  0.7471  10 Y 3.57-3.61, 1 Pr 3.61, 1 La 3.62
Y  0.7497  0.7497  0.2529  10 Y 3.57-3.61, 1 Pr 3.61, 1 La 3.62
Y  0.7497  0.7497  0.7471  10 Y 3.57-3.61, 1 Pr 3.61, 1 La 3.62

Summary:
The calculation puts the calculated formation energy at 0.024 eV/atom. Its crystal system is tetragonal. As for the volume: 32.8 Å³/atom. The total energy comes out at -6.238 eV/atom.

=====

# 7
La2PrY | PBE | optimized geometry

a = 5.2208 Å, b = 5.2208 Å, c = 5.1908 Å
α = 90.00°, β = 90.00°, γ = 90.00°
With the nearest neighbours (Å) after each atom.
Fractional coordinates of all 4 atoms:
La  0.0000  0.5000  0.0000  4 Pr 3.68, 4 Y 3.68, 4 La 3.69
La  0.5000  0.0000  0.0000  4 Pr 3.68, 4 Y 3.68, 4 La 3.69
Pr  0.0000  0.0000  0.5000  8 La 3.68, 4 Y 3.69
Y  0.5000  0.5000  0.5000  8 La 3.68, 4 Pr 3.69

Summary:
The calculation puts the calculated formation energy at 0.009 eV/atom. Its crystal system is tetragonal. The energy above the most stable polymorph in this dataset is 0.00 eV/f.u. As for the volume: 35.4 Å³/atom. The total energy comes out at -5.265 eV/atom.

=====

# 8
La6Pr3Y | PBE | optimized geometry

a = 11.8841 Å, b = 3.7116 Å, c = 17.0760 Å
α = 90.00°, β = 103.63°, γ = 90.00°
With the nearest neighbours (Å) after each atom.
Fractional coordinates of all 20 atoms:
La  0.0167  0.2500  0.1013  5 Pr 3.52-3.85, 6 La 3.71-3.86
La  0.1711  0.2500  0.7469  1 Y 3.57, 4 Pr 3.70-3.78, 4 La 3.71-3.96
La  0.2616  0.7500  0.5663  2 Y 3.50, 3 Pr 3.59-3.71, 4 La 3.71-3.83
La  0.3021  0.7500  0.1493  3 Pr 3.24-3.51, 1 Y 3.27
La  0.3961  0.2500  0.4148  2 Y 3.61, 2 Pr 3.68, 7 La 3.71-4.00
La  0.4475  0.7500  0.8971  3 Pr 3.55-3.88, 2 Y 3.69, 6 La 3.71-3.91
La  0.5525  0.2500  0.1029  3 Pr 3.55-3.88, 2 Y 3.69, 6 La 3.71-3.91
La  0.6039  0.7500  0.5852  2 Y 3.61, 2 Pr 3.68, 7 La 3.71-4.00
La  0.6979  0.2500  0.8507  3 Pr 3.24-3.51, 1 Y 3.27
La  0.7384  0.2500  0.4337  2 Y 3.50, 3 Pr 3.59-3.71, 4 La 3.71-3.83
La  0.8289  0.7500  0.2531  1 Y 3.57, 4 Pr 3.70-3.78, 4 La 3.71-3.96
La  0.9833  0.7500  0.8987  5 Pr 3.52-3.85, 6 La 3.71-3.86
Pr  0.0355  0.2500  0.4197  6 Pr 3.48-3.71, 5 La 3.59-3.78
Pr  0.1540  0.7500  0.2863  1 La 3.24, 2 Pr 3.48
Pr  0.2389  0.2500  0.9700  9 La 3.51-3.88, 2 Pr 3.71
Pr  0.7611  0.7500  0.0300  9 La 3.51-3.88, 2 Pr 3.71
Pr  0.8460  0.2500  0.7137  1 La 3.24, 2 Pr 3.48
Pr  0.9645  0.7500  0.5803  6 Pr 3.48-3.71, 5 La 3.59-3.78
Y  0.4555  0.2500  0.7120  6 La 3.27-3.61
Y  0.5445  0.7500  0.2880  6 La 3.27-3.61

Summary:
The calculation puts the calculated formation energy at 0.082 eV/atom. Its crystal system is monoclinic. The energy above the most stable polymorph in this dataset is 0.00 eV/f.u. As for the volume: 36.6 Å³/atom. The total energy comes out at -4.955 eV/atom.

=====

# 9
La2PrY | PBE | optimized geometry

a = 5.8891 Å, b = 5.8891 Å, c = 5.8891 Å
α = 60.00°, β = 60.00°, γ = 60.00°
With the nearest neighbours (Å) after each atom.
Fractional coordinates of all 4 atoms:
La  0.2500  0.2500  0.2500  4 Pr 3.61, 4 Y 3.61
La  0.7500  0.7500  0.7500  4 Y 3.61, 4 Pr 3.61
Pr  0.0000  0.0000  0.0000  8 La 3.61
Y  0.5000  0.5000  0.5000  8 La 3.61

Summary:
The calculation puts the calculated formation energy at 0.105 eV/atom. Its crystal system is cubic. The energy above the most stable polymorph in this dataset is 0.38 eV/f.u. As for the volume: 36.1 Å³/atom. The total energy comes out at -5.170 eV/atom.